# KFeSe4O12 (PBE with a Hubbard U, optimized geometry)
data_KFeSe4O12
_chemical_formula_sum 'K1 Fe1 Se4 O12'
_symmetry_space_group_name_H-M 'P 1'
_symmetry_Int_Tables_number 1
_cell_length_a 6.676
_cell_length_b 6.676
_cell_length_c 7.714
_cell_angle_alpha 90.00
_cell_angle_beta 90.00
_cell_angle_gamma 108.41
loop_
_symmetry_equiv_pos_as_xyz
'x,y,z'
loop_
_atom_site_label
_atom_site_fract_x
_atom_site_fract_y
_atom_site_fract_z
Se1 0.972 0.591 0.270
Se2 0.409 0.028 0.270
Se3 0.972 0.591 0.730
Se4 0.409 0.028 0.730
O1 0.835 0.753 0.274
O2 0.957 0.507 0.000
O3 0.729 0.271 0.766
O4 0.254 0.746 0.241
O5 0.835 0.753 0.726
O6 0.254 0.746 0.759
O7 0.493 0.043 0.000
O8 0.997 0.509 0.500
O9 0.247 0.165 0.726
O10 0.247 0.165 0.274
O11 0.491 0.003 0.500
O12 0.729 0.271 0.234
K1 0.917 0.083 0.500
Fe1 0.735 0.265 0.000
# E_tot in eV/atom: -5.08
# DOS at the Fermi energy in states/eV per cell: 3.07